BaV3B | PBE | relaxed

Cell lengths 4.7300, 4.7300, 4.7300 Å; angles 90.00, 90.00, 90.00 degrees
Element x y z (fractional)
1 Ba 0.0000 0.0000 0.0000
2 V 0.0000 0.0000 0.5000
3 V 0.0000 0.5000 0.0000
4 V 0.5000 0.0000 0.0000
5 B 0.5000 0.5000 0.5000

offset from the most stable computed form = 12.13 eV/f.u.
magnetic moment = 0.0 μB/f.u.
E_tot = -3.932 eV/atom
formation energy from the elements = 3.259 eV/atom

***

Na7Cd3Hg | PBE | relaxed

Cell lengths 15.7413, 15.7413, 12.1635 Å; angles 90.00, 90.00, 167.79 degrees
Element x y z (fractional)
1 Na 0.0305 0.9695 0.6095
2 Na 0.0305 0.9695 0.8905
3 Na 0.1384 0.8616 0.2500
4 Na 0.1402 0.8598 0.5424
5 Na 0.1402 0.8598 0.9576
6 Na 0.2689 0.7311 0.6141
7 Na 0.2689 0.7311 0.8859
8 Na 0.7311 0.2689 0.1141
9 Na 0.7311 0.2689 0.3859
10 Na 0.8598 0.1402 0.0424
11 Na 0.8598 0.1402 0.4576
12 Na 0.8616 0.1384 0.7500
13 Na 0.9695 0.0305 0.1095
14 Na 0.9695 0.0305 0.3905
15 Cd 0.3058 0.6942 0.2500
16 Cd 0.4375 0.5625 0.6239
17 Cd 0.4375 0.5625 0.8761
18 Cd 0.5625 0.4375 0.1239
19 Cd 0.5625 0.4375 0.3761
20 Cd 0.6942 0.3058 0.7500
21 Hg 0.4004 0.5996 0.2500
22 Hg 0.5996 0.4004 0.7500

magnetic moment = 0.0 μB/f.u.
E_tot = -1.191 eV/atom
formation energy from the elements = -0.075 eV/atom

***

Ac2RuRh | PBE | relaxed

Cell lengths 9.6870, 9.6870, 9.6870 Å; angles 22.58, 22.58, 22.58 degrees
Element x y z (fractional)
1 Ac 0.0944 0.0944 0.0944
2 Ac 0.9056 0.9056 0.9056
3 Ru 0.5000 0.5000 0.5000
4 Rh 0.0000 0.0000 0.0000

magnetic moment = 0.0 μB/f.u.
E_tot = -5.751 eV/atom
formation energy from the elements = 0.460 eV/atom

***

CsCuN2 | PBE | relaxed

Cell lengths 4.4536, 4.4536, 4.4536 Å; angles 60.00, 60.00, 60.00 degrees
Element x y z (fractional)
1 Cs 0.0000 0.0000 0.0000
2 Cu 0.5000 0.5000 0.5000
3 N 0.2500 0.2500 0.2500
4 N 0.7500 0.7500 0.7500

magnetic moment = 0.0 μB/f.u.
E_tot = -3.002 eV/atom
formation energy without anion corrections = 2.399 eV/atom

***

MgAs2IrOs | PBE | relaxed

Cell lengths 4.7196, 4.7196, 4.9514 Å; angles 90.00, 90.00, 90.00 degrees
Element x y z (fractional)
1 Mg 0.0000 0.0000 0.0000
2 As 0.0000 0.5000 0.5000
3 As 0.5000 0.0000 0.5000
4 Ir 0.5000 0.5000 0.0000
5 Os 0.5000 0.5000 0.5000

magnetic moment = 0.0 μB/f.u.
E_tot = -5.445 eV/atom
formation energy from the elements = 0.752 eV/atom

***

Pr6Y8Tm | PBE | relaxed

Cell lengths 9.7742, 9.7742, 6.2494 Å; angles 90.00, 90.00, 120.00 degrees
Element x y z (fractional)
1 Pr 0.0890 0.6366 0.3057
2 Pr 0.3634 0.4524 0.3057
3 Pr 0.4524 0.0890 0.6943
4 Pr 0.5476 0.9110 0.3057
5 Pr 0.6366 0.5476 0.6943
6 Pr 0.9110 0.3634 0.6943
7 Y 0.0388 0.7686 0.8084
8 Y 0.2314 0.2702 0.8084
9 Y 0.2702 0.0388 0.1916
10 Y 0.3333 0.6667 0.8252
11 Y 0.6667 0.3333 0.1748
12 Y 0.7298 0.9612 0.8084
13 Y 0.7686 0.7298 0.1916
14 Y 0.9612 0.2314 0.1916
15 Tm 0.0000 0.0000 0.5000

offset from the most stable computed form = 0.75 eV/f.u.
magnetic moment = 0.0 μB/f.u.
E_tot = -5.495 eV/atom
formation energy from the elements = 0.162 eV/atom